a.
{"formula": "TlCd2Hg2", "functional": "PBE-GGA", "state": "relaxed", "cell": [[8.634, 0.000, 0.000], [0.000, 8.634, 0.000], [0.000, 0.000, 3.475]], "species": ["Tl", "Tl", "Cd", "Cd", "Cd", "Cd", "Hg", "Hg", "Hg", "Hg"], "frac_coords": [[0.000, 0.000, 0.000], [0.500, 0.500, 0.000], [0.124, 0.376, 0.000], [0.376, 0.876, 0.000], [0.624, 0.124, 0.000], [0.876, 0.624, 0.000], [0.175, 0.675, 0.500], [0.325, 0.175, 0.500], [0.675, 0.825, 0.500], [0.825, 0.325, 0.500]], "spacegroup": "P4/mbm (127)"}

---

b.
{"formula": "TlCd2Hg2", "functional": "PBE-GGA", "state": "relaxed", "cell": [[4.561, -2.589, 0.000], [4.561, 2.589, 0.000], [-1.846, 0.000, 5.695]], "species": ["Tl", "Cd", "Cd", "Hg", "Hg"], "frac_coords": [[0.000, 0.000, 0.000], [0.384, 0.384, 0.256], [0.616, 0.616, 0.744], [0.270, 0.270, 0.694], [0.730, 0.730, 0.306]], "spacegroup": "C2/m (12)"}

---

It turns out a is the most stable, with the second structure 15 meV per atom higher.

---

a.
{"formula": "Tl5Cd3Hg3", "functional": "PBE-GGA", "state": "relaxed", "cell": [[10.498, 0.000, 0.000], [-5.249, 9.091, 0.000], [0.000, 0.000, 3.409]], "species": ["Tl", "Tl", "Tl", "Tl", "Tl", "Cd", "Cd", "Cd", "Hg", "Hg", "Hg"], "frac_coords": [[0.000, 0.685, 0.000], [0.315, 0.315, 0.000], [0.333, 0.667, 0.000], [0.667, 0.333, 0.000], [0.685, 0.000, 0.000], [0.000, 0.398, 0.000], [0.398, 0.000, 0.000], [0.602, 0.602, 0.000], [0.000, 0.168, 0.500], [0.168, 0.000, 0.500], [0.832, 0.832, 0.500]], "spacegroup": "P-62m (189)"}

---

b.
{"formula": "Tl5Cd3Hg3", "functional": "PBE-GGA", "state": "relaxed", "cell": [[10.441, 0.000, 0.000], [-5.220, 9.042, 0.000], [0.000, 0.000, 3.376]], "species": ["Tl", "Tl", "Tl", "Tl", "Tl", "Cd", "Cd", "Cd", "Hg", "Hg", "Hg"], "frac_coords": [[0.000, 0.651, 0.000], [0.333, 0.667, 0.000], [0.349, 0.349, 0.000], [0.651, 0.000, 0.000], [0.667, 0.333, 0.000], [0.000, 0.165, 0.000], [0.165, 0.000, 0.000], [0.835, 0.835, 0.000], [0.000, 0.395, 0.500], [0.395, 0.000, 0.500], [0.605, 0.605, 0.500]], "spacegroup": "P-62m (189)"}

---

It turns out b is the most stable, with the second structure 21 meV per atom higher.